[1]
A plane-wave DFT calculation with PBE was carried out for crystalline CsHgPb2Se4 at its relaxed geometry.

The energy relative to the elements, uncorrected comes out at -0.504 eV per atom. The calculation puts the spin magnetization at 0.000 μB per cell. The calculation puts the density of states at the Fermi level at 19.68 states/eV/cell.

Lattice parameters (Å, degrees): 4.454 15.261 15.637 90.00 90.00 90.00
Space group Cmcm (No. 63)
Unique sites:
1 Cs 0.000 0.117 0.250 x4
2 Hg 0.000 0.166 0.750 x4
3 Pb 0.000 0.376 0.054 x8
4 Se 0.000 0.000 0.000 x4
5 Se 0.000 0.251 0.600 x8
6 Se 0.000 0.433 0.250 x4



[2]
A plane-wave DFT calculation with PBE was carried out for crystalline Cs2Hg2PbSe4 at its relaxed geometry.

The energy relative to the elements, uncorrected comes out at -0.661 eV per atom. The calculation puts the spin magnetization at 0.000 μB per cell.

Lattice parameters (Å, degrees): 17.047 4.530 8.486 90.00 108.83 90.00
Space group C2/m (No. 12)
Unique sites:
1 Cs 0.129 0.000 0.055 x4
2 Hg 0.164 0.500 0.481 x4
3 Pb 0.000 0.000 0.500 x2
4 Se 0.016 0.500 0.256 x4
5 Se 0.203 0.000 0.674 x4



[3]
A plane-wave DFT calculation with PBE was carried out for crystalline CsHgPbSe2 at its relaxed geometry.

The energy relative to the elements, uncorrected comes out at -0.461 eV per atom. The polymorph energy (0 for the lowest one) comes out at 0.00 eV/f.u. The calculation puts the spin magnetization at 0.000 μB per cell. The calculation puts the density of states at the Fermi level at 5.51 states/eV/cell.

Lattice parameters (Å, degrees): 7.968 6.677 7.185 90.00 108.25 90.00
Space group P2/c (No. 13)
Unique sites:
1 Cs 0.000 0.216 0.250 x2
2 Hg 0.500 0.000 0.000 x2
3 Pb 0.500 0.441 0.250 x2
4 Se 0.242 0.297 0.830 x4



[4]
A plane-wave DFT calculation with PBE was carried out for crystalline Cs2Sn4HgPb3 at its relaxed geometry.

The formation enthalpy at 0 K is -119 meV per atom. The calculation puts the spin magnetization at 0.000 μB per cell. The calculation puts the density of states at the Fermi level at 3.89 states/eV/cell.

Lattice parameters (Å, degrees): 5.273 5.273 13.273 90.00 90.00 90.00
Space group P-4m2 (No. 115)
Unique sites:
1 Cs 0.000 0.500 0.246 x2
2 Sn 0.000 0.000 0.500 x1
3 Sn 0.000 0.500 0.878 x2
4 Sn 0.500 0.500 0.500 x1
5 Hg 0.500 0.500 0.000 x1
6 Pb 0.000 0.000 0.000 x1
7 Pb 0.000 0.500 0.631 x2



no.,DFT total energy (eV for the cell shown)
1,-106.2
2,-51.8
3,-28.3
4,-30.3